## Cd2In2Sb (GGA-PBE)

Data for a relaxed Cd2In2Sb crystal.

Summary:
- ΔE to the lowest computed polymorph (eV per atom) = 0.034
- space-group type = No. 127
- energy relative to the elements, uncorrected (meV per atom) = 112
- calculated volume (Å³/atom) = 26.44

```
10
Lattice="8.752 0.000 0.000 0.000 8.752 0.000 0.000 0.000 3.452" Properties=species:S:1:pos:R:3 pbc="T T T"
Cd 1.035 3.341 0.000
Cd 3.341 7.716 0.000
Cd 5.411 1.035 0.000
Cd 7.716 5.411 0.000
In 1.608 5.984 1.726
In 2.768 1.608 1.726
In 5.984 7.144 1.726
In 7.144 2.768 1.726
Sb 0.000 0.000 1.726
Sb 4.376 4.376 1.726
```